The following is a DFT calculation (PBE with a Hubbard U) of a relaxed structure of FeTcO.

Computed properties:
ΔE to the lowest computed polymorph (eV/atom): 0.047
Total moment (μB/atom): 1.18

Cell: 2.919 6.190 4.283 Å, 90.00 90.00 90.00°
Last column: magnetic moment on the atom in μB.
Positions (direct):
Tc1 0.500 0.899 0.601  -0.20
Tc2 0.500 0.101 0.101  -0.20
Fe1 0.000 0.307 0.601  3.64
Fe2 0.000 0.693 0.101  3.64
O1 0.000 0.350 0.101  0.08
O2 0.000 0.650 0.601  0.08